1.
## CrSiTc2 (meta-GGA SCAN)

Data for a crystal of CrSiTc2 relaxed with PBEsol.

Cell lengths 2.924, 2.924, 5.904 Å; angles 90.00, 90.00, 90.00 degrees
Sites, in units of the cell vectors:
Cr  0.000  0.000  0.000
Si  0.000  0.000  0.500
Tc  0.500  0.500  0.253
Tc  0.500  0.500  0.747

Calculated values
Raw formation energy   -0.31 eV/atom
Raw total energy   -99.8 eV/cell
Calculated volume   50.47 Å³/cell



2.
## CrSiTc (meta-GGA SCAN)

Data for a crystal of CrSiTc relaxed with PBEsol.

Cell lengths 3.921, 3.921, 3.921 Å; angles 60.00, 60.00, 60.00 degrees
Sites, in units of the cell vectors:
Cr  0.000  0.000  0.000
Si  0.250  0.250  0.250
Tc  0.750  0.750  0.750

Calculated values
Raw formation energy   -0.02 eV/atom
Energy relative to the lowest polymorph listed for this composition   0.0 kJ per mole of atoms
Raw total energy   -63.5 eV/cell
Calculated volume   42.61 Å³/cell



3.
## CrSiTc2 (meta-GGA SCAN)

Data for a crystal of CrSiTc2 relaxed with PBEsol.

Cell lengths 4.766, 4.766, 2.694 Å; angles 102.55, 102.55, 113.44 degrees
Sites, in units of the cell vectors:
Cr  0.000  0.000  0.000
Si  0.500  0.500  0.000
Tc  0.000  0.500  0.500
Tc  0.500  0.000  0.500

Calculated values
Raw formation energy   -0.07 eV/atom
Raw total energy   -98.8 eV/cell
Calculated volume   51.57 Å³/cell



4.
## Cr2SiTc (meta-GGA SCAN)

Data for a crystal of Cr2SiTc relaxed with PBEsol.

Cell lengths 4.807, 4.807, 4.807 Å; angles 144.35, 131.89, 61.30 degrees
Sites, in units of the cell vectors:
Cr  0.249  0.249  0.000
Cr  0.751  0.751  0.000
Si  0.500  0.000  0.500
Tc  0.000  0.500  0.500

Calculated values
Raw formation energy   -0.28 eV/atom
Raw total energy   -83.0 eV/cell
Calculated volume   47.70 Å³/cell



5.
## CrSiTc4 (meta-GGA SCAN)

Data for a crystal of CrSiTc4 relaxed with PBEsol.

Cell lengths 4.976, 4.976, 4.976 Å; angles 60.00, 60.00, 60.00 degrees
Sites, in units of the cell vectors:
Cr  0.000  0.000  0.000
Si  0.250  0.250  0.250
Tc  0.126  0.625  0.625
Tc  0.625  0.126  0.625
Tc  0.625  0.625  0.126
Tc  0.625  0.625  0.625

Calculated values
Raw formation energy   0.40 eV/atom
Raw total energy   -166.2 eV/cell
Calculated volume   87.10 Å³/cell



6.
## CrSiTe2 (meta-GGA SCAN)

Data for a crystal of CrSiTe2 relaxed with PBEsol.

Cell lengths 9.318, 9.318, 9.318 Å; angles 19.90, 19.90, 19.90 degrees
Sites, in units of the cell vectors:
Cr  0.000  0.000  0.000
Si  0.725  0.725  0.725
Te  0.269  0.269  0.269
Te  0.473  0.473  0.473

Calculated values
Raw formation energy   0.28 eV/atom
Raw total energy   -101.8 eV/cell
Calculated volume   81.97 Å³/cell



7.
## Cr2SiTe (meta-GGA SCAN)

Data for a crystal of Cr2SiTe relaxed with PBEsol.

Cell lengths 4.551, 4.551, 4.448 Å; angles 105.19, 105.19, 40.24 degrees
Sites, in units of the cell vectors:
Cr  0.000  0.000  0.000
Cr  0.237  0.237  0.651
Si  0.508  0.508  0.557
Te  0.746  0.746  0.180

Calculated values
Raw formation energy   0.22 eV/atom
Energy relative to the lowest polymorph listed for this composition   20.9 kJ per mole of atoms
Raw total energy   -83.2 eV/cell
Calculated volume   57.15 Å³/cell



8.
## CrSiTe3 (meta-GGA SCAN)

Data for a crystal of CrSiTe3 relaxed with PBEsol.

Cell lengths 7.822, 7.822, 7.822 Å; angles 51.11, 51.11, 51.11 degrees
Sites, in units of the cell vectors:
Cr  0.166  0.166  0.166
Cr  0.834  0.834  0.834
Si  0.444  0.444  0.444
Si  0.556  0.556  0.556
Te  0.049  0.420  0.781
Te  0.219  0.951  0.580
Te  0.420  0.781  0.049
Te  0.580  0.219  0.951
Te  0.781  0.049  0.420
Te  0.951  0.580  0.219

Calculated values
Raw formation energy   -0.32 eV/atom
Raw total energy   -283.5 eV/cell
Calculated volume   267.42 Å³/cell



9.
## Cr2SiTe (meta-GGA SCAN)

Data for a crystal of Cr2SiTe relaxed with PBEsol.

Cell lengths 6.329, 6.329, 6.329 Å; angles 33.36, 33.36, 33.36 degrees
Sites, in units of the cell vectors:
Cr  0.232  0.232  0.232
Cr  0.768  0.768  0.768
Si  0.500  0.500  0.500
Te  0.000  0.000  0.000

Calculated values
Raw formation energy   0.00 eV/atom
Energy relative to the lowest polymorph listed for this composition   0.0 kJ per mole of atoms
Raw total energy   -84.0 eV/cell
Calculated volume   68.26 Å³/cell



10.
## Cr2SiTe (meta-GGA SCAN)

Data for a crystal of Cr2SiTe relaxed with PBEsol.

Cell lengths 3.062, 3.062, 6.008 Å; angles 90.00, 90.00, 90.00 degrees
Sites, in units of the cell vectors:
Cr  0.000  0.000  0.207
Cr  0.000  0.000  0.793
Si  0.500  0.500  0.000
Te  0.500  0.500  0.500

Calculated values
Raw formation energy   0.37 eV/atom
Energy relative to the lowest polymorph listed for this composition   35.7 kJ per mole of atoms
Raw total energy   -82.5 eV/cell
Calculated volume   56.33 Å³/cell



11.
## TiCrSi2Te (meta-GGA SCAN)

Data for a crystal of TiCrSi2Te relaxed with PBEsol.

Cell lengths 4.479, 4.479, 4.588 Å; angles 90.00, 90.00, 90.00 degrees
Sites, in units of the cell vectors:
Ti  0.000  0.000  0.000
Cr  0.000  0.000  0.500
Si  0.000  0.500  0.500
Si  0.500  0.000  0.500
Te  0.500  0.500  0.000

Calculated values
Raw formation energy   0.41 eV/atom
Raw total energy   -89.6 eV/cell
Calculated volume   92.03 Å³/cell



12.
## Ti2Cr4Si5 (meta-GGA SCAN)

Data for a crystal of Ti2Cr4Si5 relaxed with PBEsol.

Cell lengths 8.956, 8.956, 8.956 Å; angles 131.53, 58.46, 149.32 degrees
Sites, in units of the cell vectors:
Ti  0.142  0.115  0.257
Ti  0.358  0.615  0.973
Ti  0.642  0.385  0.027
Ti  0.858  0.885  0.743
Cr  0.058  0.750  0.308
Cr  0.064  0.748  0.812
Cr  0.436  0.248  0.684
Cr  0.442  0.750  0.692
Cr  0.558  0.250  0.308
Cr  0.564  0.752  0.316
Cr  0.936  0.252  0.188
Cr  0.942  0.250  0.692
Si  0.064  0.417  0.481
Si  0.212  0.793  0.006
Si  0.250  0.250  0.000
Si  0.288  0.293  0.581
Si  0.436  0.917  0.353
Si  0.564  0.083  0.647
Si  0.712  0.707  0.419
Si  0.750  0.750  0.000
Si  0.788  0.207  0.994
Si  0.936  0.583  0.519

Calculated values
Raw formation energy   -0.54 eV/atom
Raw total energy   -323.2 eV/cell
Calculated volume   272.32 Å³/cell